Entry 1:
HfPaP2N: optimized geometry, PBE.

abc: 3.769 3.769 12.793
angles: 90.00 90.00 90.00
Element x y z (fractional)
Hf: 0.250 0.250 0.104
Hf: 0.750 0.750 0.896
Pa: 0.250 0.250 0.599
Pa: 0.750 0.750 0.401
P: 0.250 0.250 0.300
P: 0.250 0.250 0.892
P: 0.750 0.750 0.108
P: 0.750 0.750 0.700
N: 0.250 0.750 0.500
N: 0.750 0.250 0.500

Computed properties:
Total magnetic moment ... 0.000 μB per formula unit
V ... 90.9 Å³/f.u.
ΔE_f (raw) ... -1290.1 meV per atom

---

Entry 2:
PrHf3P4N12: optimized geometry, PBE.

abc: 6.709 6.709 6.709
angles: 104.52 104.52 104.52
Element x y z (fractional)
Pr: 0.000 0.000 0.000
Hf: 0.000 0.553 0.447
Hf: 0.447 0.000 0.553
Hf: 0.553 0.447 0.000
P: 0.054 0.500 0.946
P: 0.500 0.500 0.500
P: 0.500 0.946 0.054
P: 0.946 0.054 0.500
N: 0.029 0.633 0.784
N: 0.094 0.906 0.500
N: 0.216 0.367 0.971
N: 0.352 0.648 0.500
N: 0.367 0.971 0.216
N: 0.500 0.094 0.906
N: 0.500 0.352 0.648
N: 0.633 0.784 0.029
N: 0.648 0.500 0.352
N: 0.784 0.029 0.633
N: 0.906 0.500 0.094
N: 0.971 0.216 0.367

Computed properties:
Total magnetic moment ... 0.000 μB per formula unit
V ... 266.6 Å³/f.u.
ΔE_f (raw) ... -816.6 meV per atom